The following is a DFT calculation (PBE) of a relaxed structure of Mg3Tl2Hg.

Cell: 3.5719 3.5719 11.1178 Å, 90.00 90.00 90.00°
Closest atoms and distances in Å follow each position.
Sites, in units of the cell vectors:
Mg  0.0000  0.0000  0.0000  8 Tl 3.17
Mg  0.0000  0.0000  0.3497  4 Hg 3.03, 4 Tl 3.20, 1 Mg 3.34
Mg  0.0000  0.0000  0.6503  4 Hg 3.03, 4 Tl 3.20, 1 Mg 3.34
Tl  0.5000  0.5000  0.1729  8 Mg 3.17-3.20
Tl  0.5000  0.5000  0.8271  8 Mg 3.17-3.20
Hg  0.5000  0.5000  0.5000  8 Mg 3.03

Results
Its space group is P4/mmm. The volume comes out at 23.64 A^3/atom. For the total DFT energy (no corrections), the calculation gives -1.7430 eV per atom. The value obtained for the formation energy is -0.107 eV per atom.